Record 1
Below is a relaxed structure of YZr2Ta, with properties calculated at the PBE level.

Properties
Theoretical density ... 8.01 g/cm³
ΔE_f ... 88 kJ/mol of formula units
DOS(E_F) ... 1.58 states/eV/atom
Polymorph energy (0 for the lowest one) ... 7.3 kJ per mole of atoms
Electronic total energy ... -34.50 eV for the cell shown
M_tot ... 0.00 μB/f.u.

Cell: 3.130 4.903 6.226 Å, 90.00 101.18 90.00°
Element x y z (fractional)
1 Y 0.000 0.000 0.000
2 Zr 0.303 0.500 0.718
3 Zr 0.697 0.500 0.282
4 Ta 0.500 0.000 0.500



Record 2
Below is a relaxed structure of YZrTa2, with properties calculated at the PBE level.

Properties
Theoretical density ... 10.47 g/cm³
ΔE_f ... 154 kJ/mol of formula units
DOS(E_F) ... 1.66 states/eV/atom
Polymorph energy (0 for the lowest one) ... 22.0 kJ per mole of atoms
Electronic total energy ... -37.12 eV for the cell shown
M_tot ... 0.00 μB/f.u.

Cell: 5.894 5.894 5.894 Å, 145.88 130.90 61.14°
Element x y z (fractional)
1 Y 0.000 0.000 0.000
2 Zr 0.500 0.500 0.000
3 Ta 0.257 0.757 0.500
4 Ta 0.743 0.243 0.500



Record 3
Below is a relaxed structure of Y4ZrTa, with properties calculated at the PBE level.

Properties
Theoretical density ... 6.29 g/cm³
ΔE_f ... 472 kJ/mol of formula units
DOS(E_F) ... 2.05 states/eV/atom
Electronic total energy ... -41.36 eV for the cell shown
M_tot ... 2.68 μB/f.u.

Cell: 6.166 6.166 6.166 Å, 60.00 60.00 60.00°
Element x y z (fractional)
1 Y 0.376 0.376 0.376
2 Y 0.376 0.376 0.873
3 Y 0.376 0.873 0.376
4 Y 0.873 0.376 0.376
5 Zr 0.000 0.000 0.000
6 Ta 0.750 0.750 0.750